(1)
This record from Alexandria via LeMat-Bulk describes crystalline CeZr2Ir at its relaxed geometry. The functional is PBE.

Its total magnetization is 0.000 μB per cell. Its symmetry is No. 62. The energy of formation from the pure elements comes out at -9.391 kcal/mol of atoms. For the electronic total energy, the calculation gives -8.380 eV per atom. The value obtained for the density of states at the Fermi level is 1.6498 states/eV/atom.

Unit cell a=6.665 b=9.199 c=6.075 alpha=90.00 beta=90.00 gamma=90.00
Fractional coordinates of all 16 atoms:
Ce (0.029, 0.250, 0.143)
Ce (0.471, 0.750, 0.643)
Ce (0.529, 0.250, 0.357)
Ce (0.971, 0.750, 0.857)
Zr (0.189, 0.056, 0.651)
Zr (0.189, 0.444, 0.651)
Zr (0.311, 0.556, 0.151)
Zr (0.311, 0.944, 0.151)
Zr (0.689, 0.056, 0.849)
Zr (0.689, 0.444, 0.849)
Zr (0.811, 0.556, 0.349)
Zr (0.811, 0.944, 0.349)
Ir (0.116, 0.750, 0.420)
Ir (0.384, 0.250, 0.920)
Ir (0.616, 0.750, 0.080)
Ir (0.884, 0.250, 0.580)

(2)
This record from Alexandria via LeMat-Bulk describes crystalline Ce5ZrIr4 at its relaxed geometry. The functional is PBE.

Its total magnetization is 2.083 μB per cell. Its symmetry is No. 12. The energy of formation from the pure elements comes out at -13.502 kcal/mol of atoms. For the electronic total energy, the calculation gives -7.952 eV per atom. The value obtained for the density of states at the Fermi level is 2.0994 states/eV/atom.

Unit cell a=7.950 b=7.950 c=6.955 alpha=90.53 beta=90.53 gamma=32.35
Fractional coordinates of all 10 atoms:
Ce (0.000, 0.000, 0.000)
Ce (0.310, 0.310, 0.955)
Ce (0.335, 0.335, 0.418)
Ce (0.665, 0.665, 0.582)
Ce (0.690, 0.690, 0.045)
Zr (0.000, 0.000, 0.500)
Ir (0.157, 0.157, 0.294)
Ir (0.484, 0.484, 0.728)
Ir (0.516, 0.516, 0.272)
Ir (0.843, 0.843, 0.706)